# 1
VASP calculation (PBE-GGA) on an optimized crystal structure of CaGdMg.

Output
DFT formation energy = -0.012 eV/atom
energy above the most stable polymorph in this dataset = 0 meV/atom

abc: 3.761 3.761 13.591
angles: 90.00 90.00 90.00
Space group I4mm (No. 107)
Inequivalent atoms, fractional coordinates:
Ca: 0.000 0.000 0.000 (multiplicity 2)
Gd: 0.000 0.000 0.300 (multiplicity 2)
Mg: 0.000 0.000 0.657 (multiplicity 2)



# 2
VASP calculation (PBE-GGA) on an optimized crystal structure of CaGdMg.

Output
DFT formation energy = 0.083 eV/atom
energy above the most stable polymorph in this dataset = 95 meV/atom

abc: 5.6447 5.6447 3.4286
angles: 90.00 90.00 120.00
Space group P3m1 (No. 156)
Inequivalent atoms, fractional coordinates:
Ca: 0.0000 0.0000 0.0000 (multiplicity 1)
Gd: 0.3333 0.6667 0.3896 (multiplicity 1)
Mg: 0.6667 0.3333 0.7541 (multiplicity 1)



# 3
VASP calculation (PBE-GGA) on an optimized crystal structure of NaCaGdMg.

Output
DFT formation energy = 0.118 eV/atom

abc: 8.012 8.012 8.012
angles: 90.00 90.00 90.00
Space group F-43m (No. 216)
Inequivalent atoms, fractional coordinates:
Na: 0.000 0.000 0.000 (multiplicity 4)
Ca: 0.250 0.250 0.750 (multiplicity 4)
Gd: 0.250 0.250 0.250 (multiplicity 4)
Mg: 0.000 0.000 0.500 (multiplicity 4)



# 4
VASP calculation (PBE-GGA) on an optimized crystal structure of CaNdGdMg.

Output
DFT formation energy = 0.047 eV/atom

abc: 8.004 8.004 8.004
angles: 90.00 90.00 90.00
Space group F-43m (No. 216)
Inequivalent atoms, fractional coordinates:
Ca: 0.000 0.000 0.000 (multiplicity 4)
Nd: 0.250 0.250 0.250 (multiplicity 4)
Gd: 0.250 0.250 0.750 (multiplicity 4)
Mg: 0.000 0.000 0.500 (multiplicity 4)



# 5
VASP calculation (PBE-GGA) on an optimized crystal structure of CaGdMgPb.

Output
DFT formation energy = -0.310 eV/atom

abc: 7.734 7.734 7.734
angles: 90.00 90.00 90.00
Space group F-43m (No. 216)
Inequivalent atoms, fractional coordinates:
Ca: 0.000 0.000 0.000 (multiplicity 4)
Gd: 0.000 0.000 0.500 (multiplicity 4)
Mg: 0.250 0.250 0.250 (multiplicity 4)
Pb: 0.250 0.250 0.750 (multiplicity 4)



# 6
VASP calculation (PBE-GGA) on an optimized crystal structure of CaGdMgPd.

Output
DFT formation energy = -0.341 eV/atom

abc: 7.340 7.340 7.340
angles: 90.00 90.00 90.00
Space group F-43m (No. 216)
Inequivalent atoms, fractional coordinates:
Ca: 0.000 0.000 0.000 (multiplicity 4)
Gd: 0.000 0.000 0.500 (multiplicity 4)
Mg: 0.250 0.250 0.750 (multiplicity 4)
Pd: 0.250 0.250 0.250 (multiplicity 4)



# 7
VASP calculation (PBE-GGA) on an optimized crystal structure of CaPmGdMg.

Output
DFT formation energy = 0.051 eV/atom

abc: 7.981 7.981 7.981
angles: 90.00 90.00 90.00
Space group F-43m (No. 216)
Inequivalent atoms, fractional coordinates:
Ca: 0.000 0.000 0.000 (multiplicity 4)
Pm: 0.250 0.250 0.750 (multiplicity 4)
Gd: 0.250 0.250 0.250 (multiplicity 4)
Mg: 0.000 0.000 0.500 (multiplicity 4)



# 8
VASP calculation (PBE-GGA) on an optimized crystal structure of CaGdMgPt.

Output
DFT formation energy = -0.516 eV/atom

abc: 7.251 7.251 7.251
angles: 90.00 90.00 90.00
Space group F-43m (No. 216)
Inequivalent atoms, fractional coordinates:
Ca: 0.000 0.000 0.000 (multiplicity 4)
Gd: 0.000 0.000 0.500 (multiplicity 4)
Mg: 0.250 0.250 0.750 (multiplicity 4)
Pt: 0.250 0.250 0.250 (multiplicity 4)



# 9
VASP calculation (PBE-GGA) on an optimized crystal structure of CaGdMgRh.

Output
DFT formation energy = -0.261 eV/atom

abc: 7.227 7.227 7.227
angles: 90.00 90.00 90.00
Space group F-43m (No. 216)
Inequivalent atoms, fractional coordinates:
Ca: 0.000 0.000 0.000 (multiplicity 4)
Gd: 0.000 0.000 0.500 (multiplicity 4)
Mg: 0.250 0.250 0.750 (multiplicity 4)
Rh: 0.250 0.250 0.250 (multiplicity 4)



# 10
VASP calculation (PBE-GGA) on an optimized crystal structure of CaSmGdMg.

Output
DFT formation energy = 0.056 eV/atom

abc: 7.967 7.967 7.967
angles: 90.00 90.00 90.00
Space group F-43m (No. 216)
Inequivalent atoms, fractional coordinates:
Ca: 0.000 0.000 0.000 (multiplicity 4)
Sm: 0.250 0.250 0.250 (multiplicity 4)
Gd: 0.250 0.250 0.750 (multiplicity 4)
Mg: 0.000 0.000 0.500 (multiplicity 4)



# 11
VASP calculation (PBE-GGA) on an optimized crystal structure of CaGdMgSn.

Output
DFT formation energy = -0.400 eV/atom

abc: 7.625 7.625 7.625
angles: 90.00 90.00 90.00
Space group F-43m (No. 216)
Inequivalent atoms, fractional coordinates:
Ca: 0.000 0.000 0.000 (multiplicity 4)
Gd: 0.000 0.000 0.500 (multiplicity 4)
Mg: 0.250 0.250 0.250 (multiplicity 4)
Sn: 0.250 0.250 0.750 (multiplicity 4)



# 12
VASP calculation (PBE-GGA) on an optimized crystal structure of SrCaGdMg.

Output
DFT formation energy = 0.103 eV/atom

abc: 8.322 8.322 8.322
angles: 90.00 90.00 90.00
Space group F-43m (No. 216)
Inequivalent atoms, fractional coordinates:
Sr: 0.000 0.000 0.000 (multiplicity 4)
Ca: 0.250 0.250 0.750 (multiplicity 4)
Gd: 0.000 0.000 0.500 (multiplicity 4)
Mg: 0.250 0.250 0.250 (multiplicity 4)



# 13
VASP calculation (PBE-GGA) on an optimized crystal structure of CaTbGdMg.

Output
DFT formation energy = 0.070 eV/atom

abc: 7.920 7.920 7.920
angles: 90.00 90.00 90.00
Space group F-43m (No. 216)
Inequivalent atoms, fractional coordinates:
Ca: 0.000 0.000 0.000 (multiplicity 4)
Tb: 0.250 0.250 0.250 (multiplicity 4)
Gd: 0.250 0.250 0.750 (multiplicity 4)
Mg: 0.000 0.000 0.500 (multiplicity 4)



# 14
VASP calculation (PBE-GGA) on an optimized crystal structure of CaGd2Mn.

Output
DFT formation energy = 0.100 eV/atom

abc: 3.527 3.527 9.449
angles: 90.00 90.00 90.00
Space group P4/mmm (No. 123)
Inequivalent atoms, fractional coordinates:
Ca: 0.000 0.000 0.000 (multiplicity 1)
Gd: 0.500 0.500 0.317 (multiplicity 2)
Mn: 0.000 0.000 0.500 (multiplicity 1)



# 15
VASP calculation (PBE-GGA) on an optimized crystal structure of CaGd3Mn.

Output
DFT formation energy = 0.134 eV/atom

abc: 5.383 5.383 5.383
angles: 90.00 90.00 90.00
Space group Pm-3m (No. 221)
Inequivalent atoms, fractional coordinates:
Ca: 0.000 0.000 0.000 (multiplicity 1)
Gd: 0.000 0.500 0.500 (multiplicity 3)
Mn: 0.500 0.500 0.500 (multiplicity 1)



# 16
VASP calculation (PBE-GGA) on an optimized crystal structure of CaGdN.

Output
energy above the most stable polymorph in this dataset = 569 meV/atom

abc: 6.044 6.044 6.044
angles: 90.00 90.00 90.00
Space group F-43m (No. 216)
Inequivalent atoms, fractional coordinates:
Ca: 0.000 0.000 0.000 (multiplicity 4)
Gd: 0.000 0.000 0.500 (multiplicity 4)
N: 0.250 0.250 0.750 (multiplicity 4)



# 17
VASP calculation (PBE-GGA) on an optimized crystal structure of CaGd3N.

Output
uncorrected energy = -10.989 eV/atom

abc: 5.071 5.071 5.071
angles: 90.00 90.00 90.00
Space group Pm-3m (No. 221)
Inequivalent atoms, fractional coordinates:
Ca: 0.000 0.000 0.000 (multiplicity 1)
Gd: 0.000 0.500 0.500 (multiplicity 3)
N: 0.500 0.500 0.500 (multiplicity 1)



# 18
VASP calculation (PBE-GGA) on an optimized crystal structure of CaGdN.

Output
energy above the most stable polymorph in this dataset = 0 meV/atom

abc: 3.5949 3.5949 6.1384
angles: 90.00 90.00 120.00
Space group P3m1 (No. 156)
Inequivalent atoms, fractional coordinates:
Ca: 0.0000 0.0000 0.0000 (multiplicity 1)
Gd: 0.3333 0.6667 0.4409 (multiplicity 1)
N: 0.6667 0.3333 0.2588 (multiplicity 1)



# 19
VASP calculation (PBE-GGA) on an optimized crystal structure of Ca2GdN.

Output
uncorrected energy = -7.021 eV/atom

abc: 3.5297 3.5297 29.9878
angles: 90.00 90.00 120.00
Space group R-3m (No. 166, hexagonal axes)
Inequivalent atoms, fractional coordinates:
Ca: 0.0000 0.0000 0.1243 (multiplicity 6)
Gd: 0.0000 0.0000 0.0000 (multiplicity 3)
N: 0.0000 0.0000 0.5000 (multiplicity 3)



# 20
VASP calculation (PBE-GGA) on an optimized crystal structure of NaCaGd.

Output
DFT formation energy = 0.150 eV/atom
energy above the most stable polymorph in this dataset = 0 meV/atom

abc: 3.6836 3.6836 9.4352
angles: 90.00 90.00 120.00
Space group P3m1 (No. 156)
Inequivalent atoms, fractional coordinates:
Na: 0.0000 0.0000 0.0000 (multiplicity 1)
Ca: 0.6667 0.3333 0.3489 (multiplicity 1)
Gd: 0.3333 0.6667 0.6671 (multiplicity 1)



| no. | magnetic moment (μB/f.u.) |
| --- | --- |
| 1 | 7.86 |
| 2 | 7.42 |
| 3 | 7.71 |
| 4 | 7.28 |
| 5 | 7.43 |
| 6 | 7.26 |
| 7 | 7.26 |
| 8 | 7.11 |
| 9 | 7.36 |
| 10 | 7.26 |
| 11 | 7.44 |
| 12 | 7.87 |
| 13 | 7.27 |
| 14 | 12.00 |
| 15 | 20.64 |
| 16 | 7.06 |
| 17 | 23.09 |
| 18 | 7.48 |
| 19 | 7.71 |
| 20 | 7.81 |